## Ac6GaOs2 (PBE)

Data for a relaxed structure of Ac6GaOs2.

The structure in CIF format:
```
data_Ac6GaOs2
_chemical_formula_sum 'Ac24 Ga4 Os8'
_space_group_name_H-M_alt 'I m m m'
_space_group_IT_number 71
_space_group_name_Hall '-I 2 2'
_cell_length_a 10.244
_cell_length_b 10.551
_cell_length_c 11.074
_cell_angle_alpha 90.00
_cell_angle_beta 90.00
_cell_angle_gamma 90.00
loop_
_atom_site_label
_atom_site_type_symbol
_atom_site_fract_x
_atom_site_fract_y
_atom_site_fract_z
Ac1 Ac 0.000 0.197 0.240
Ac2 Ac 0.182 0.500 0.170
Ac3 Ac 0.223 0.320 0.500
Ga1 Ga 0.000 0.000 0.000
Ga2 Ga 0.000 0.000 0.500
Os1 Os 0.000 0.324 0.000
Os2 Os 0.000 0.500 0.387
```

Computed properties:
DFT formation energy, eV per atom: -0.12
Magnetization, μB per cell: 0.00
E_tot, eV per cell: -204.9